1.
Below is an optimized crystal structure of In2HgPt2, with properties calculated at the PBEsol level.

Properties
E_form   -0.3546 eV per atom
DOS at the Fermi energy   0.2322 states/eV/atom
Raw total energy   -22.233 eV/f.u.

```
10
Lattice="3.416 0.000 0.000 0.000 7.414 0.000 0.000 0.000 7.414" Properties=species:S:1:pos:R:3 pbc="T T T"
Hg 0.000 3.707 3.707
Hg 0.000 0.000 0.000
In 1.708 6.263 2.556
In 1.708 1.151 4.858
In 1.708 4.858 6.263
In 1.708 2.556 1.151
Pt 0.000 6.357 4.764
Pt 0.000 4.764 1.057
Pt 0.000 2.650 6.357
Pt 0.000 1.057 2.650
```

=====

2.
Below is an optimized crystal structure of K4BaCu, with properties calculated at the PBEsol level.

Properties
E_form   0.5332 eV per atom
DOS at the Fermi energy   0.6253 states/eV/atom
Raw total energy   -7.817 eV/f.u.

```
6
Lattice="-5.627 2.904 4.517 -3.063 -4.347 5.677 1.482 1.714 7.441" Properties=species:S:1:pos:R:3 pbc="T T T"
K -5.536 1.569 8.872
K -2.694 0.102 6.590
K -4.241 -2.095 9.458
K -1.945 0.967 10.349
Ba -5.406 0.204 13.226
Cu 0.000 0.000 0.000
```

=====

3.
Below is an optimized crystal structure of LaMg2, with properties calculated at the PBEsol level.

Properties
E_form   -0.0443 eV per atom
DOS at the Fermi energy   1.0007 states/eV/atom
Raw total energy   -8.913 eV/f.u.

```
9
Lattice="5.061 0.000 0.000 0.000 7.603 0.000 0.000 -3.801 6.584" Properties=species:S:1:pos:R:3 pbc="T T T"
La 0.000 -2.159 3.740
La 0.000 1.642 2.844
La 0.000 4.319 0.000
Mg 0.000 0.000 0.000
Mg 2.531 -0.886 1.535
Mg 2.531 1.773 0.000
Mg 2.531 0.000 4.389
Mg 2.531 3.801 2.195
Mg 2.531 2.915 5.049
```

=====

4.
Below is an optimized crystal structure of Be2InAgN, with properties calculated at the PBEsol level.

Properties
DOS at the Fermi energy   0.5632 states/eV/atom
Formation energy (no corrections)   1.63 eV per atom
Raw total energy   -14.647 eV/f.u.

```
5
Lattice="-3.495 -1.094 1.939 -1.633 -1.734 -3.922 1.847 -4.072 1.031" Properties=species:S:1:pos:R:3 pbc="T T T"
N -1.748 -0.547 0.970
Be -0.817 -0.867 -1.961
Be 0.924 -2.036 0.515
In 0.000 0.000 0.000
Ag -1.641 -3.450 -0.476
```

=====

5.
Below is an optimized crystal structure of SbW3O, with properties calculated at the PBEsol level.

Properties
DOS at the Fermi energy   0.9706 states/eV/atom
Formation energy (no corrections)   3.46 eV per atom
Raw total energy   -33.949 eV/f.u.

```
5
Lattice="-1.644 4.508 0.750 -1.930 0.037 -4.457 -4.143 -1.807 1.779" Properties=species:S:1:pos:R:3 pbc="T T T"
W -0.965 0.019 -2.228
W -2.071 -0.903 0.890
W -0.822 2.254 0.375
Sb 0.000 0.000 0.000
O -3.859 1.370 -0.964
```

=====

6.
Below is an optimized crystal structure of Sr5In3, with properties calculated at the PBEsol level.

Properties
E_form   -0.3319 eV per atom
Polymorph energy (0 for the lowest one)   27 meV/atom
DOS at the Fermi energy   0.8023 states/eV/atom
Raw total energy   -20.805 eV/f.u.

```
16
Lattice="-4.992 -3.116 3.380 5.605 -8.374 0.557 0.588 6.959 7.285" Properties=species:S:1:pos:R:3 pbc="T T T"
Sr -0.817 4.319 6.181
Sr 1.437 -4.821 4.490
Sr -2.245 -4.577 2.684
Sr -3.587 -0.476 4.483
Sr 3.932 -3.263 2.800
Sr -0.236 0.290 6.732
Sr 2.260 1.848 5.042
Sr 0.408 -1.157 2.942
Sr 0.793 -3.373 8.279
Sr 2.858 -6.913 1.253
In 2.499 -1.635 5.589
In 0.966 -4.087 1.065
In -3.388 1.873 6.942
In -1.016 1.970 3.722
In -0.353 -7.403 2.872
In -1.298 -2.896 5.632
```

=====

7.
Below is an optimized crystal structure of NbSbI2O, with properties calculated at the PBEsol level.

Properties
Polymorph energy (0 for the lowest one)   0 meV/atom
DOS at the Fermi energy   0.5361 states/eV/atom
Formation energy (no corrections)   0.46 eV per atom
Raw total energy   -21.873 eV/f.u.

```
5
Lattice="-1.802 -2.233 -2.780 5.187 -0.717 -2.787 1.058 -4.867 3.222" Properties=species:S:1:pos:R:3 pbc="T T T"
I 2.594 -0.359 -1.393
I 0.529 -2.433 1.611
O -0.901 -1.116 -1.390
Sb 0.000 0.000 0.000
Nb 2.221 -3.908 -1.172
```

=====

8.
Below is an optimized crystal structure of GeIr3Pd, with properties calculated at the PBEsol level.

Properties
E_form   2.1953 eV per atom
DOS at the Fermi energy   1.4722 states/eV/atom
Raw total energy   -29.392 eV/f.u.

```
5
Lattice="-3.011 3.179 1.645 -3.365 -1.782 -2.716 -1.219 -2.932 3.434" Properties=species:S:1:pos:R:3 pbc="T T T"
Pd 0.000 0.000 0.000
Ge -3.798 -0.768 1.181
Ir -1.683 -0.891 -1.358
Ir -0.610 -1.466 1.717
Ir -1.506 1.589 0.822
```